Ce2PrSb: relaxed, PBE.

Cell: 5.021 4.739 4.739 Å, 90.00 90.00 90.00°
Atoms (fractional coordinates):
Pr: 0.500 0.500 0.500
Sb: 0.500 0.000 0.000
Ce: 0.000 0.000 0.500
Ce: 0.000 0.500 0.000

Computed properties:
Formation energy from raw total energies, kJ/mol of formula units: -201.2
Space group: P4/mmm (123)
Calculated volume, Å³/atom: 28.2
Total DFT energy (no corrections), eV per atom: -5.71


Pm8GaS6: relaxed, PBE.

Cell: 4.063 10.482 10.482 Å, 120.00 90.00 90.00°
Atoms (fractional coordinates):
Pm: 0.748 0.966 0.298
Pm: 0.748 0.702 0.667
Pm: 0.748 0.333 0.034
Pm: 0.252 0.034 0.702
Pm: 0.252 0.298 0.333
Pm: 0.252 0.667 0.966
Pm: 0.750 0.333 0.667
Pm: 0.250 0.667 0.333
Ga: 0.500 0.000 0.000
S: 0.750 0.652 0.136
S: 0.750 0.864 0.517
S: 0.750 0.483 0.348
S: 0.250 0.348 0.864
S: 0.250 0.136 0.483
S: 0.250 0.517 0.652

Computed properties:
Formation energy from raw total energies, kJ/mol of formula units: -2204.3
Space group: P-3 (147)
Calculated volume, Å³/atom: 25.8
Total DFT energy (no corrections), eV per atom: -5.91